Compound: PuBeRu
Source: Alexandria
Functional: PBE
Structure: relaxed

## Properties
M_tot = 4.424 μB per formula unit
space-group type = Imma
crystal system = orthorhombic
energy of formation from the pure elements = -195 meV/atom
final energy = -55.84 eV/cell

a b c (Å): 4.497 5.168 5.168
angles (deg): 65.18 64.21 64.21
Last column: magnetic moment on the atom in μB.
Fractional positions:
Pu 0.125 0.625 0.625  4.83
Pu 0.875 0.375 0.375  4.83
Ru 0.500 0.500 0.000  -0.48
Ru 0.500 0.000 0.500  -0.48
Be 0.500 0.000 0.000  -0.02
Be 0.000 0.000 0.000  -0.02